1.
HfBiHW2: optimized geometry, GGA-PBE.

The calculation puts the calculated total energy at -30.01 eV/cell. Its crystal system is tetragonal.

Lattice parameters (Å, degrees): 4.893 4.893 5.614 90.00 90.00 90.00
Space group P4/mmm (No. 123)
Inequivalent atoms, fractional coordinates:
1 Hf 0.000 0.000 0.000 x1
2 Bi 0.000 0.000 0.500 x1
3 H 0.500 0.500 0.500 x1
4 W 0.000 0.500 0.000 x2

=====

2.
MgPaAlZn: optimized geometry, GGA-PBE.

As for the formation energy: -16 meV per atom. Its crystal system is cubic.

Lattice parameters (Å, degrees): 6.897 6.897 6.897 90.00 90.00 90.00
Space group F-43m (No. 216)
Inequivalent atoms, fractional coordinates:
1 Mg 0.000 0.000 0.000 x4
2 Pa 0.000 0.000 0.500 x4
3 Al 0.250 0.250 0.750 x4
4 Zn 0.250 0.250 0.250 x4

=====

3.
NaBiOs2Cl: optimized geometry, GGA-PBE.

As for the formation energy without anion corrections: 1.800 eV/atom. Its crystal system is tetragonal.

Lattice parameters (Å, degrees): 5.062 5.062 6.629 90.00 90.00 90.00
Space group P4/mmm (No. 123)
Inequivalent atoms, fractional coordinates:
1 Na 0.000 0.000 0.000 x1
2 Bi 0.000 0.000 0.500 x1
3 Os 0.000 0.500 0.500 x2
4 Cl 0.500 0.500 0.000 x1

=====

4.
Pr2Cd7: optimized geometry, GGA-PBE.

As for the formation energy: -233 meV per atom. Its crystal system is trigonal.

Lattice parameters (Å, degrees): 6.0062 6.0062 43.3324 90.00 90.00 120.00
Space group R-3m (No. 166, hexagonal axes)
Inequivalent atoms, fractional coordinates:
1 Pr 0.0000 0.0000 0.0513 x6
2 Pr 0.0000 0.0000 0.1499 x6
3 Cd 0.0000 0.0000 0.2779 x6
4 Cd 0.0000 0.0000 0.3900 x6
5 Cd 0.0000 0.0000 0.5000 x3
6 Cd 0.0000 0.5000 0.0000 x9
7 Cd 0.0057 0.5029 0.8883 x18

=====

5.
Dy15HoTm4: optimized geometry, GGA-PBE.

As for the formation energy: 19 meV per atom. Its crystal system is tetragonal.

Lattice parameters (Å, degrees): 4.995 4.995 24.959 90.00 90.00 90.00
Space group P4/mmm (No. 123)
Inequivalent atoms, fractional coordinates:
1 Dy 0.000 0.000 0.000 x1
2 Dy 0.000 0.000 0.200 x2
3 Dy 0.000 0.000 0.400 x2
4 Dy 0.000 0.500 0.100 x4
5 Dy 0.000 0.500 0.300 x4
6 Dy 0.000 0.500 0.500 x2
7 Ho 0.500 0.500 0.000 x1
8 Tm 0.500 0.500 0.200 x2
9 Tm 0.500 0.500 0.400 x2

=====

6.
Ce2TmZr: optimized geometry, GGA-PBE.

The energy relative to the lowest polymorph listed for this composition is 9 meV per atom. As for the formation energy: 123 meV per atom. Its crystal system is tetragonal.

Lattice parameters (Å, degrees): 4.675 4.675 4.970 90.00 90.00 90.00
Space group P4/mmm (No. 123)
Inequivalent atoms, fractional coordinates:
1 Ce 0.000 0.500 0.000 x2
2 Tm 0.000 0.000 0.500 x1
3 Zr 0.500 0.500 0.500 x1